[1]
A relaxed Dy5Tm4 crystal, computed with GGA-PBE.

Cell and atoms, written as POSCAR:
```
Dy5Tm4
1.0
4.724 0.000 1.489
2.362 7.457 0.745
0.120 0.000 7.856
Dy Tm
5 4
Direct
0.000 0.333 0.667
0.667 0.333 0.333
0.000 0.000 0.000
0.000 0.667 0.333
0.333 0.667 0.667
0.333 0.000 0.333
0.333 0.333 0.000
0.667 0.000 0.667
0.667 0.667 0.000
```

Summary:
Space group: I4/mmm (139)
DOS(E_F), states/eV per cell: 12.5
Calculated formation energy, meV/atom: 23
Offset from the most stable computed form, eV per formula unit: 0.00
Final energy, eV/atom: -4.52


[2]
A relaxed VNiH3 crystal, computed with GGA-PBE.

Cell and atoms, written as POSCAR:
```
VNiH3
1.0
-2.445 -2.029 0.304
1.947 -2.443 -0.651
0.647 -0.313 3.110
Ni V H
1 1 3
Direct
0.000 0.000 0.000
0.500 0.500 0.500
0.500 0.000 0.000
0.000 0.500 0.000
0.000 0.000 0.500
```

Summary:
Space group: Pm-3m (221)
DOS(E_F), states/eV per cell: 3.0
Final energy, eV/atom: -4.95


[3]
A relaxed Dy2ErAgC crystal, computed with GGA-PBE.

Cell and atoms, written as POSCAR:
```
Dy2ErAgC
1.0
4.918 0.000 0.000
0.000 4.918 0.000
0.000 0.000 4.798
Ag Dy C Er
1 2 1 1
Direct
0.500 0.500 0.501
0.500 0.000 0.000
0.000 0.500 0.000
0.000 0.000 0.000
0.000 0.000 0.500
```

Summary:
Space group: P4/mmm (123)
DOS(E_F), states/eV per cell: 6.8
Calculated formation energy, meV/atom: -215
Final energy, eV/atom: -5.38


[4]
A relaxed La8PrSm2 crystal, computed with GGA-PBE.

Cell and atoms, written as POSCAR:
```
La8PrSm2
1.0
5.822 -0.447 -0.312
0.343 10.146 2.687
0.343 6.014 8.601
La Sm Pr
8 2 1
Direct
0.267 0.598 0.141
0.236 0.544 0.544
0.764 0.456 0.456
0.733 0.402 0.859
0.233 0.186 0.186
0.267 0.141 0.598
0.767 0.814 0.814
0.733 0.859 0.402
0.259 0.717 0.717
0.741 0.283 0.283
0.000 0.000 0.000
```

Summary:
Space group: C2/m (12)
DOS(E_F), states/eV per cell: 17.7
Calculated formation energy, meV/atom: 133
Offset from the most stable computed form, eV per formula unit: 0.05
Final energy, eV/atom: -4.74